# 1
# PtAuSe2 | the Alexandria database | meta-GGA SCAN | single point on PBEsol structure
# total magnetic moment	0.00	Bohr magnetons per cell
# space group	P4/mmm, No. 123
# energy	-1.6484	Ha/atom
# E_form (uncorrected)	0.0224	eV per atom
data_PtAuSe2
_space_group_name_H-M_alt 'P 1'
_space_group_IT_number 1
_space_group_name_Hall 'P 1'
_cell_length_a 3.7383
_cell_length_b 3.7383
_cell_length_c 5.3163
_cell_angle_alpha 90.00
_cell_angle_beta 90.00
_cell_angle_gamma 90.00
loop_
_atom_site_label
_atom_site_type_symbol
_atom_site_fract_x
_atom_site_fract_y
_atom_site_fract_z
_atom_site_occupancy
Pt1 Pt 0.0000 0.0000 0.0000 1
Au1 Au 0.5000 0.5000 0.5000 1
Se1 Se 0.0000 0.0000 0.5000 1
Se2 Se 0.5000 0.5000 0.0000 1

# 2
# Ca6Al43W4 | the Alexandria database | meta-GGA SCAN | single point on PBEsol structure
# DFT formation energy	-207	meV/atom
# total magnetic moment	0.00	Bohr magnetons per cell
# space group	P6_3/mcm, No. 193
# energy	-0.4722	Ha/atom
data_Ca6Al43W4
_space_group_name_H-M_alt 'P 1'
_space_group_IT_number 1
_space_group_name_Hall 'P 1'
_cell_length_a 10.9958
_cell_length_b 10.9958
_cell_length_c 17.6951
_cell_angle_alpha 90.00
_cell_angle_beta 90.00
_cell_angle_gamma 120.00
loop_
_atom_site_label
_atom_site_type_symbol
_atom_site_fract_x
_atom_site_fract_y
_atom_site_fract_z
_atom_site_occupancy
Ca1 Ca 0.0000 0.4675 0.0946 1
Ca2 Ca 0.0000 0.4675 0.4054 1
Ca3 Ca 0.0000 0.5325 0.5946 1
Ca4 Ca 0.0000 0.5325 0.9054 1
Ca5 Ca 0.4675 0.0000 0.0946 1
Ca6 Ca 0.4675 0.0000 0.4054 1
Ca7 Ca 0.4675 0.4675 0.5946 1
Ca8 Ca 0.4675 0.4675 0.9054 1
Ca9 Ca 0.5325 0.0000 0.5946 1
Ca10 Ca 0.5325 0.0000 0.9054 1
Ca11 Ca 0.5325 0.5325 0.0946 1
Ca12 Ca 0.5325 0.5325 0.4054 1
Al1 Al 0.0000 0.1475 0.7500 1
Al2 Al 0.0000 0.1592 0.1148 1
Al3 Al 0.0000 0.1592 0.3852 1
Al4 Al 0.0000 0.2523 0.5320 1
Al5 Al 0.0000 0.2523 0.9680 1
Al6 Al 0.0000 0.7477 0.0320 1
Al7 Al 0.0000 0.7477 0.4680 1
Al8 Al 0.0000 0.8408 0.6148 1
Al9 Al 0.0000 0.8408 0.8852 1
Al10 Al 0.0000 0.8525 0.2500 1
Al11 Al 0.1475 0.0000 0.7500 1
Al12 Al 0.1475 0.1475 0.2500 1
Al13 Al 0.1485 0.5496 0.2500 1
Al14 Al 0.1485 0.5989 0.7500 1
Al15 Al 0.1563 0.3930 0.6645 1
Al16 Al 0.1563 0.3930 0.8355 1
Al17 Al 0.1563 0.7633 0.1645 1
Al18 Al 0.1563 0.7633 0.3355 1
Al19 Al 0.1592 0.0000 0.1148 1
Al20 Al 0.1592 0.0000 0.3852 1
Al21 Al 0.1592 0.1592 0.6148 1
Al22 Al 0.1592 0.1592 0.8852 1
Al23 Al 0.2367 0.3930 0.1645 1
Al24 Al 0.2367 0.3930 0.3355 1
Al25 Al 0.2367 0.8437 0.6645 1
Al26 Al 0.2367 0.8437 0.8355 1
Al27 Al 0.2467 0.4934 0.0000 1
Al28 Al 0.2467 0.4934 0.5000 1
Al29 Al 0.2467 0.7533 0.0000 1
Al30 Al 0.2467 0.7533 0.5000 1
Al31 Al 0.2523 0.0000 0.5320 1
Al32 Al 0.2523 0.0000 0.9680 1
Al33 Al 0.2523 0.2523 0.0320 1
Al34 Al 0.2523 0.2523 0.4680 1
Al35 Al 0.3333 0.6667 0.1256 1
Al36 Al 0.3333 0.6667 0.3744 1
Al37 Al 0.3333 0.6667 0.6256 1
Al38 Al 0.3333 0.6667 0.8744 1
Al39 Al 0.3930 0.1563 0.6645 1
Al40 Al 0.3930 0.1563 0.8355 1
Al41 Al 0.3930 0.2367 0.1645 1
Al42 Al 0.3930 0.2367 0.3355 1
Al43 Al 0.4011 0.5496 0.7500 1
Al44 Al 0.4011 0.8515 0.2500 1
Al45 Al 0.4504 0.5989 0.2500 1
Al46 Al 0.4504 0.8515 0.7500 1
Al47 Al 0.4934 0.2467 0.0000 1
Al48 Al 0.4934 0.2467 0.5000 1
Al49 Al 0.5066 0.7533 0.0000 1
Al50 Al 0.5066 0.7533 0.5000 1
Al51 Al 0.5496 0.1485 0.2500 1
Al52 Al 0.5496 0.4011 0.7500 1
Al53 Al 0.5989 0.1485 0.7500 1
Al54 Al 0.5989 0.4504 0.2500 1
Al55 Al 0.6070 0.7633 0.6645 1
Al56 Al 0.6070 0.7633 0.8355 1
Al57 Al 0.6070 0.8437 0.1645 1
Al58 Al 0.6070 0.8437 0.3355 1
Al59 Al 0.6667 0.3333 0.1256 1
Al60 Al 0.6667 0.3333 0.3744 1
Al61 Al 0.6667 0.3333 0.6256 1
Al62 Al 0.6667 0.3333 0.8744 1
Al63 Al 0.7477 0.0000 0.0320 1
Al64 Al 0.7477 0.0000 0.4680 1
Al65 Al 0.7477 0.7477 0.5320 1
Al66 Al 0.7477 0.7477 0.9680 1
Al67 Al 0.7533 0.2467 0.0000 1
Al68 Al 0.7533 0.2467 0.5000 1
Al69 Al 0.7533 0.5066 0.0000 1
Al70 Al 0.7533 0.5066 0.5000 1
Al71 Al 0.7633 0.1563 0.1645 1
Al72 Al 0.7633 0.1563 0.3355 1
Al73 Al 0.7633 0.6070 0.6645 1
Al74 Al 0.7633 0.6070 0.8355 1
Al75 Al 0.8408 0.0000 0.6148 1
Al76 Al 0.8408 0.0000 0.8852 1
Al77 Al 0.8408 0.8408 0.1148 1
Al78 Al 0.8408 0.8408 0.3852 1
Al79 Al 0.8437 0.2367 0.6645 1
Al80 Al 0.8437 0.2367 0.8355 1
Al81 Al 0.8437 0.6070 0.1645 1
Al82 Al 0.8437 0.6070 0.3355 1
Al83 Al 0.8515 0.4011 0.2500 1
Al84 Al 0.8515 0.4504 0.7500 1
Al85 Al 0.8525 0.0000 0.2500 1
Al86 Al 0.8525 0.8525 0.7500 1
W1 W 0.0000 0.0000 0.0000 1
W2 W 0.0000 0.0000 0.5000 1
W3 W 0.0000 0.2697 0.2500 1
W4 W 0.0000 0.7303 0.7500 1
W5 W 0.2697 0.0000 0.2500 1
W6 W 0.2697 0.2697 0.7500 1
W7 W 0.7303 0.0000 0.7500 1
W8 W 0.7303 0.7303 0.2500 1

# 3
# TiRhPb2 | the Alexandria database | meta-GGA SCAN | single point on PBEsol structure
# DFT formation energy	52	meV/atom
# total magnetic moment	1.66	Bohr magnetons per cell
# space group	Fm-3m, No. 225
# energy	-1.8481	Ha/atom
data_TiRhPb2
_space_group_name_H-M_alt 'P 1'
_space_group_IT_number 1
_space_group_name_Hall 'P 1'
_cell_length_a 4.7757
_cell_length_b 4.7757
_cell_length_c 4.7757
_cell_angle_alpha 60.00
_cell_angle_beta 60.00
_cell_angle_gamma 60.00
loop_
_atom_site_label
_atom_site_type_symbol
_atom_site_fract_x
_atom_site_fract_y
_atom_site_fract_z
_atom_site_occupancy
Ti1 Ti 0.0000 0.0000 0.0000 1
Rh1 Rh 0.5000 0.5000 0.5000 1
Pb1 Pb 0.2500 0.2500 0.2500 1
Pb2 Pb 0.7500 0.7500 0.7500 1